# 1
This record from Alexandria describes Gd2ZnRu after structural relaxation. The functional is GGA-PBE.

```
Gd2ZnRu
1.0
-4.3685 1.0955 2.0834
-4.1362 -0.0415 -2.7413
-3.3890 -3.5611 0.6760
Ru Zn Gd
1 1 2
direct
0.2500 0.2500 0.2500
0.7500 0.7500 0.7500
0.5000 0.5000 0.5000
0.0000 0.0000 0.0000
```

Calculated values
Symmetry: Fm-3m, No. 225
Total DFT energy (no corrections): -9.99 eV/atom
DOS(E_F): 3.6 states/eV/f.u.
Energy relative to the elements: -317 meV/atom
Total magnetic moment: 14.1 μB per formula unit

# 2
This record from Alexandria describes Gd2ZnRu after structural relaxation. The functional is GGA-PBE.

```
Gd2ZnRu
1.0
-0.7202 -3.0981 1.3954
0.3555 -1.4873 -3.1186
7.0931 -1.0576 1.3130
Ru Zn Gd
1 1 2
direct
0.5000 0.5000 0.0000
0.5000 0.5000 0.5000
0.0000 0.0000 0.7685
0.0000 0.0000 0.2315
```

Calculated values
Symmetry: P4/mmm, No. 123
Total DFT energy (no corrections): -10.03 eV/atom
DOS(E_F): 2.9 states/eV/f.u.
Energy relative to the elements: -349 meV/atom
Total magnetic moment: 14.4 μB per formula unit

# 3
This record from Alexandria describes GdZrZnRu after structural relaxation. The functional is GGA-PBE.

```
GdZrZnRu
1.0
4.8260 0.0000 0.0000
2.4130 4.1795 0.0000
2.4130 1.3932 3.9404
Ru Zn Gd Zr
1 1 1 1
direct
0.7500 0.7500 0.7500
0.2500 0.2500 0.2500
0.5000 0.5000 0.5000
0.0000 0.0000 0.0000
```

Calculated values
Symmetry: F-43m, No. 216
Total DFT energy (no corrections): -8.58 eV/atom
DOS(E_F): 3.4 states/eV/f.u.
Energy relative to the elements: -290 meV/atom
Total magnetic moment: 7.1 μB per formula unit

# 4
This record from Alexandria describes Gd2ZrRu after structural relaxation. The functional is GGA-PBE.

```
Gd2ZrRu
1.0
-2.9731 -0.2088 1.6772
-1.2035 -3.0495 0.9738
3.2513 -0.2573 9.2180
Ru Gd Zr
1 2 1
direct
0.5000 0.5000 0.5000
0.2375 0.2375 0.2875
0.7625 0.7625 0.7125
0.0000 0.0000 0.0000
```

Calculated values
Symmetry: R-3m, No. 166
Total DFT energy (no corrections): -11.40 eV/atom
DOS(E_F): 4.6 states/eV/f.u.
Energy relative to the elements: 98 meV/atom
Total magnetic moment: 14.0 μB per formula unit

# 5
This record from Alexandria describes GdZrRu2 after structural relaxation. The functional is GGA-PBE.

```
GdZrRu2
1.0
-1.8333 -4.3137 0.6815
0.8793 -3.4638 -3.1070
2.8201 -3.6066 1.2101
Ru Gd Zr
2 1 1
direct
0.9999 0.0000 0.0000
0.5001 0.5000 0.5000
0.2500 0.2500 0.2500
0.7500 0.7500 0.7500
```

Calculated values
Symmetry: Fm-3m, No. 225
Total DFT energy (no corrections): -10.73 eV/atom
DOS(E_F): 2.5 states/eV/f.u.
Energy relative to the elements: -430 meV/atom
Total magnetic moment: 7.1 μB per formula unit

# 6
This record from Alexandria describes GdZrRu2 after structural relaxation. The functional is GGA-PBE.

```
GdZrRu2
1.0
-2.4013 2.3071 -0.1106
-2.1237 -2.1426 1.4144
1.8509 2.2210 6.1435
Ru Gd Zr
2 1 1
direct
0.0000 0.0000 0.7697
0.0000 0.0000 0.2303
0.5000 0.5000 0.5000
0.5000 0.5000 0.0000
```

Calculated values
Symmetry: P4/mmm, No. 123
Total DFT energy (no corrections): -10.76 eV/atom
DOS(E_F): 1.8 states/eV/f.u.
Energy relative to the elements: -468 meV/atom
Total magnetic moment: 7.1 μB per formula unit

Copy entry 6 word for word.
This record from Alexandria describes GdZrRu2 after structural relaxation. The functional is GGA-PBE.

```
GdZrRu2
1.0
-2.4013 2.3071 -0.1106
-2.1237 -2.1426 1.4144
1.8509 2.2210 6.1435
Ru Gd Zr
2 1 1
direct
0.0000 0.0000 0.7697
0.0000 0.0000 0.2303
0.5000 0.5000 0.5000
0.5000 0.5000 0.0000
```

Calculated values
Symmetry: P4/mmm, No. 123
Total DFT energy (no corrections): -10.76 eV/atom
DOS(E_F): 1.8 states/eV/f.u.
Energy relative to the elements: -468 meV/atom
Total magnetic moment: 7.1 μB per formula unit

The highest total DFT energy (no corrections) belongs to which entry?
GdZrZnRu

The lowest total DFT energy (no corrections) belongs to which entry?
Gd2ZrRu

DOS(E_F) of number 2 (Gd2ZnRu)?
2.9 states/eV/f.u.